1.
The following is a PBE+U calculation of LiVSnO4 after structural relaxation, from Alexandria via LeMat-Bulk.

Summary:
Polymorph energy (0 for the lowest one) (meV/atom): 0
Final energy (eV/atom): -6.661

Geometry as CIF:
```
data_LiVSnO4
_space_group_name_H-M_alt 'I m m a'
_space_group_IT_number 74
_space_group_name_Hall '-I 2b 2'
_cell_length_a 6.0486
_cell_length_b 6.2749
_cell_length_c 8.9023
_cell_angle_alpha 90.00
_cell_angle_beta 90.00
_cell_angle_gamma 90.00
loop_
_atom_site_label
_atom_site_fract_x
_atom_site_fract_y
_atom_site_fract_z
_atom_site_occupancy
Li1 0.0000 0.2500 0.1272 1
V1 0.2500 0.2500 0.7500 1
Sn1 0.0000 0.0000 0.5000 1
O1 0.0000 0.0309 0.7359 1
O2 0.2328 0.2500 0.5103 1
```

=====

2.
The following is a PBE+U calculation of Li2V3SnO8 after structural relaxation, from Alexandria via LeMat-Bulk.

Summary:
Polymorph energy (0 for the lowest one) (meV/atom): 63
Final energy (eV/atom): -6.939

Geometry as CIF:
```
data_Li2V3SnO8
_space_group_name_H-M_alt 'P 1'
_space_group_IT_number 1
_space_group_name_Hall 'P 1'
_cell_length_a 6.0440
_cell_length_b 6.0985
_cell_length_c 8.5286
_cell_angle_alpha 89.84
_cell_angle_beta 89.18
_cell_angle_gamma 89.93
loop_
_atom_site_label
_atom_site_fract_x
_atom_site_fract_y
_atom_site_fract_z
_atom_site_occupancy
Li1 0.0000 0.0000 0.0000 1
Li2 0.2410 0.0104 0.3717 1
Li3 0.4997 0.4952 0.5011 1
Li4 0.7432 0.4983 0.8727 1
V1 0.0135 0.4973 0.5029 1
V2 0.2534 0.2535 0.7424 1
V3 0.2534 0.7314 0.7356 1
V4 0.5210 0.9946 0.0040 1
V5 0.7523 0.7617 0.2437 1
V6 0.7538 0.2402 0.2423 1
Sn1 0.2669 0.4984 0.1136 1
Sn2 0.7673 0.9972 0.6174 1
O1 0.0248 0.5076 0.7444 1
O2 0.0288 0.9958 0.7568 1
O3 0.2373 0.2719 0.5153 1
O4 0.2372 0.7471 0.5239 1
O5 0.2558 0.7702 0.9812 1
O6 0.2605 0.2232 0.9863 1
O7 0.4613 0.5059 0.7534 1
O8 0.4917 0.9903 0.7561 1
O9 0.5122 0.0009 0.2319 1
O10 0.5288 0.5019 0.2533 1
O11 0.7181 0.7700 0.0069 1
O12 0.7200 0.2292 0.0105 1
O13 0.7580 0.2693 0.4874 1
O14 0.7592 0.7282 0.4861 1
O15 0.9635 0.9996 0.2449 1
O16 0.9915 0.5017 0.2515 1
```

=====

3.
The following is a PBE+U calculation of Li2V3SnO8 after structural relaxation, from Alexandria via LeMat-Bulk.

Summary:
Polymorph energy (0 for the lowest one) (meV/atom): 40
Final energy (eV/atom): -6.962

Geometry as CIF:
```
data_Li2V3SnO8
_space_group_name_H-M_alt 'R -3 m'
_space_group_IT_number 166
_space_group_name_Hall '-R 3 2"'
_cell_length_a 5.9703
_cell_length_b 5.9703
_cell_length_c 15.4200
_cell_angle_alpha 90.00
_cell_angle_beta 90.00
_cell_angle_gamma 120.00
loop_
_atom_site_label
_atom_site_fract_x
_atom_site_fract_y
_atom_site_fract_z
_atom_site_occupancy
Li1 0.0000 0.0000 0.1224 1
V1 0.0000 0.5000 0.0000 1
Sn1 0.0000 0.0000 0.5000 1
O1 0.0000 0.0000 0.2666 1
O2 0.0256 0.5128 0.2554 1
```

=====

4.
The following is a PBE+U calculation of Li2V3SnO8 after structural relaxation, from Alexandria via LeMat-Bulk.

Summary:
Polymorph energy (0 for the lowest one) (meV/atom): 88
Final energy (eV/atom): -6.913

Geometry as CIF:
```
data_Li2V3SnO8
_space_group_name_H-M_alt 'R 3 m'
_space_group_IT_number 160
_space_group_name_Hall 'R 3 -2"'
_cell_length_a 6.0419
_cell_length_b 6.0419
_cell_length_c 14.7995
_cell_angle_alpha 90.00
_cell_angle_beta 90.00
_cell_angle_gamma 120.00
loop_
_atom_site_label
_atom_site_fract_x
_atom_site_fract_y
_atom_site_fract_z
_atom_site_occupancy
Li1 0.0000 0.0000 0.0000 1
Li2 0.0000 0.0000 0.3784 1
V1 0.1764 0.3529 0.8298 1
Sn1 0.0000 0.0000 0.6193 1
O1 0.0000 0.0000 0.2431 1
O2 0.0000 0.0000 0.7567 1
O3 0.0232 0.5116 0.7608 1
O4 0.1806 0.3611 0.5749 1
```

=====

5.
The following is a PBE+U calculation of LiSnWO6 after structural relaxation, from Alexandria via LeMat-Bulk.

Summary:
Final energy (eV/atom): -6.419

Geometry as CIF:
```
data_LiSnWO6
_space_group_name_H-M_alt 'P 42 n m'
_space_group_IT_number 102
_space_group_name_Hall 'P 4n -2n'
_cell_length_a 4.8444
_cell_length_b 4.8444
_cell_length_c 9.3083
_cell_angle_alpha 90.00
_cell_angle_beta 90.00
_cell_angle_gamma 90.00
loop_
_atom_site_label
_atom_site_fract_x
_atom_site_fract_y
_atom_site_fract_z
_atom_site_occupancy
Li1 0.0000 0.0000 0.0000 1
Sn1 0.0000 0.0000 0.3296 1
W1 0.0000 0.0000 0.6721 1
O1 0.1856 0.1856 0.5092 1
O2 0.1991 0.1991 0.8147 1
O3 0.2133 0.2133 0.1704 1
```

=====

Q: What is the final energy in the fourth record?
A: -6.913 eV/atom